(1)
## TiMnRu2W (PBE)

Data for a relaxed TiMnRu2W crystal.

a b c (Å): 4.6270 4.6270 4.6806
angles (deg): 90.00 90.00 90.00
Last column: nearest neighbours and their distance in Å.
Space group P4/mmm (No. 123)
Symmetry-distinct sites (fractional):
Ti 0.0000 0.0000 0.0000  2 W 2.34
Mn 0.5000 0.5000 0.0000  4 Ti 3.27, 8 Ru 3.29
Ru 0.0000 0.5000 0.5000  2 W 2.31
W 0.0000 0.0000 0.5000  4 Ru 2.31, 2 Ti 2.34

- formation energy (meV per atom) = 1760.9
- total energy (eV per atom) = -7.953
- size of the total moment (Bohr magnetons per cell) = 0.064

***

(2)
## ZrTiMnRu (PBE)

Data for a relaxed ZrTiMnRu crystal.

a b c (Å): 6.2830 6.2830 6.2830
angles (deg): 90.00 90.00 90.00
Last column: nearest neighbours and their distance in Å.
Space group F-43m (No. 216)
Symmetry-distinct sites (fractional):
Zr 0.0000 0.0000 0.0000  4 Mn 2.72, 4 Ru 2.72
Ti 0.0000 0.0000 0.5000  4 Mn 2.72, 4 Ru 2.72
Mn 0.2500 0.2500 0.7500  4 Zr 2.72, 4 Ti 2.72
Ru 0.2500 0.2500 0.2500  4 Zr 2.72, 4 Ti 2.72

- formation energy (meV per atom) = -373.0
- total energy (eV per atom) = -9.095
- size of the total moment (Bohr magnetons per cell) = 1.442

***

(3)
## MnTl2Ru (PBE)

Data for a relaxed MnTl2Ru crystal.

a b c (Å): 3.1736 3.1736 27.9812
angles (deg): 90.00 90.00 120.00
Last column: nearest neighbours and their distance in Å.
Space group R3m (No. 160, hexagonal axes)
Symmetry-distinct sites (fractional):
Mn 0.0000 0.0000 0.0000  3 Ru 2.48
Tl 0.0000 0.0000 0.2474  3 Mn 3.02, 6 Tl 3.17
Tl 0.0000 0.0000 0.4769  3 Ru 2.98, 6 Tl 3.17
Ru 0.0000 0.0000 0.7264  3 Mn 2.48

- formation energy (meV per atom) = 503.3
- total energy (eV per atom) = -5.291
- size of the total moment (Bohr magnetons per cell) = 8.872

***

(4)
## MnTl2Ru (PBE)

Data for a relaxed MnTl2Ru crystal.

a b c (Å): 3.6353 4.3534 4.8664
angles (deg): 90.00 90.00 90.00
Last column: nearest neighbours and their distance in Å.
Space group Pmmm (No. 47)
Symmetry-distinct sites (fractional):
Mn 0.0000 0.0000 0.0000  4 Tl 2.84, 4 Ru 3.04
Tl 0.0000 0.5000 0.5000  4 Ru 2.84, 4 Tl 3.04
Tl 0.5000 0.5000 0.0000  4 Mn 2.84, 4 Tl 3.04
Ru 0.5000 0.0000 0.5000  4 Tl 2.84, 4 Mn 3.04

- formation energy (meV per atom) = 607.3
- total energy (eV per atom) = -5.187
- size of the total moment (Bohr magnetons per cell) = 4.184

***

(5)
## MnTlRu2 (PBE)

Data for a relaxed MnTlRu2 crystal.

a b c (Å): 6.3049 6.3049 6.3049
angles (deg): 90.00 90.00 90.00
Last column: nearest neighbours and their distance in Å.
Space group Fm-3m (No. 225)
Symmetry-distinct sites (fractional):
Mn 0.0000 0.0000 0.0000  8 Ru 2.73
Tl 0.0000 0.0000 0.5000  8 Ru 2.73
Ru 0.2500 0.2500 0.2500  4 Tl 2.73, 4 Mn 2.73

- formation energy (meV per atom) = 387.5
- total energy (eV per atom) = -7.134
- size of the total moment (Bohr magnetons per cell) = 8.969

***

(6)
## MnTl2Ru (PBE)

Data for a relaxed MnTl2Ru crystal.

a b c (Å): 4.0695 4.0695 9.1862
angles (deg): 90.00 90.00 90.00
Last column: nearest neighbours and their distance in Å.
Space group I-4m2 (No. 119)
Symmetry-distinct sites (fractional):
Mn 0.0000 0.0000 0.0000  8 Tl 2.88-3.07, 4 Ru 3.07
Tl 0.0000 0.0000 0.5000  4 Mn 2.88, 4 Tl 3.07, 4 Ru 3.07
Tl 0.0000 0.5000 0.2500  4 Ru 2.88, 4 Tl 3.07, 4 Mn 3.07
Ru 0.0000 0.5000 0.7500  8 Tl 2.88-3.07, 4 Mn 3.07

- formation energy (meV per atom) = 567.1
- total energy (eV per atom) = -5.227
- size of the total moment (Bohr magnetons per cell) = 9.248